Entry from the Alexandria database: crystalline Cs2CuHgBr5 at its relaxed geometry (PBE).

extended XYZ file:
```
18
Lattice="2.298 -10.403 0.000 2.298 10.403 0.000 0.000 0.000 14.876" Properties=species:S:1:pos:R:3 pbc="T T T"
Cs 2.298 7.805 7.438
Cs 2.298 7.722 1.684
Cs 2.298 -7.722 9.122
Cs 2.298 -7.805 0.000
Cu 2.298 1.708 2.998
Cu 2.298 -1.708 10.436
Hg 2.298 6.053 12.211
Hg 2.298 -6.053 4.773
Br 2.298 8.702 11.727
Br 2.298 4.204 6.642
Br 2.298 4.117 2.540
Br 2.298 3.401 12.019
Br 2.298 0.067 1.288
Br 2.298 -0.067 8.726
Br 2.298 -3.401 4.581
Br 2.298 -4.117 9.978
Br 2.298 -4.204 14.081
Br 2.298 -8.702 4.289
```

Summary:
Raw formation energy ... -1.01 eV/atom
Crystal system ... orthorhombic

Entry from the Alexandria database: crystalline Sc12C5S at its relaxed geometry (PBE).

extended XYZ file:
```
18
Lattice="2.923 -5.063 0.000 2.923 5.063 0.000 -1.944 0.000 11.160" Properties=species:S:1:pos:R:3 pbc="T T T"
Sc 0.970 1.695 1.219
Sc -0.177 0.000 4.262
Sc 0.887 1.843 6.897
Sc -0.003 0.000 9.943
Sc 0.970 -1.695 1.219
Sc 3.016 1.843 4.262
Sc 0.887 -1.843 6.897
Sc 2.933 1.695 9.940
Sc 3.906 0.000 1.216
Sc 3.016 -1.843 4.262
Sc 4.080 0.000 6.898
Sc 2.933 -1.695 9.940
C 0.000 0.000 0.000
C 1.952 3.375 5.580
C 2.923 1.686 0.000
C 2.923 -1.686 0.000
C 1.952 -3.375 5.580
S 1.952 0.000 5.580
```

Summary:
Raw formation energy ... -0.58 eV/atom
Crystal system ... monoclinic

Entry from the Alexandria database: crystalline CeGdMn4 at its relaxed geometry (PBE).

extended XYZ file:
```
6
Lattice="0.000 3.645 3.645 3.645 0.000 3.645 3.645 3.645 0.000" Properties=species:S:1:pos:R:3 pbc="T T T"
Ce 0.000 0.000 0.000
Gd 1.823 1.823 1.823
Mn 4.559 2.732 2.732
Mn 2.732 4.559 2.732
Mn 2.732 2.732 4.559
Mn 4.559 4.559 4.559
```

Summary:
ΔE_f ... 0.157 eV/atom
Crystal system ... cubic